# 1
NaBiOsO6: optimized geometry, PBE-GGA.

Summary:
Uncorrected formation energy = -10.1 eV/f.u.
Calculated total energy = -6.252 eV per atom

Cell lengths 4.997, 4.997, 10.133 Å; angles 90.00, 90.00, 90.00 degrees
Space group P4_2nm (No. 102)
Inequivalent atoms, fractional coordinates:
Na: 0.000 0.000 0.000 [2 per cell]
Bi: 0.000 0.000 0.670 [2 per cell]
Os: 0.000 0.000 0.331 [2 per cell]
O: 0.181 0.181 0.191 [4 per cell]
O: 0.182 0.182 0.460 [4 per cell]
O: 0.232 0.232 0.825 [4 per cell]

# 2
Na5BiP4O14: optimized geometry, PBE-GGA.

Summary:
Uncorrected formation energy = -51.8 eV/f.u.
Calculated total energy = -6.390 eV per atom

Cell lengths 7.435, 9.444, 9.962 Å; angles 80.60, 78.03, 70.08 degrees
Space group P-1 (No. 2)
Inequivalent atoms, fractional coordinates:
Na: 0.059 0.023 0.158 [2 per cell]
Na: 0.162 0.343 0.228 [2 per cell]
Na: 0.235 0.236 0.908 [2 per cell]
Na: 0.256 0.766 0.613 [2 per cell]
Na: 0.435 0.010 0.342 [2 per cell]
Bi: 0.369 0.623 0.269 [2 per cell]
P: 0.092 0.161 0.554 [2 per cell]
P: 0.218 0.610 0.951 [2 per cell]
P: 0.323 0.365 0.530 [2 per cell]
P: 0.395 0.851 0.954 [2 per cell]
O: 0.031 0.712 0.902 [2 per cell]
O: 0.075 0.175 0.403 [2 per cell]
O: 0.101 0.830 0.346 [2 per cell]
O: 0.130 0.315 0.586 [2 per cell]
O: 0.193 0.576 0.110 [2 per cell]
O: 0.222 0.986 0.919 [2 per cell]
O: 0.261 0.023 0.593 [2 per cell]
O: 0.271 0.532 0.545 [2 per cell]
O: 0.315 0.467 0.875 [2 per cell]
O: 0.377 0.700 0.904 [2 per cell]
O: 0.386 0.822 0.114 [2 per cell]
O: 0.397 0.329 0.380 [2 per cell]
O: 0.407 0.144 0.119 [2 per cell]
O: 0.471 0.263 0.626 [2 per cell]

# 3
NaBiP2O: optimized geometry, PBE-GGA.

Summary:
Uncorrected formation energy = 2.0 eV/f.u.
Calculated total energy = -3.789 eV per atom

Cell lengths 5.416, 5.416, 4.350 Å; angles 90.00, 90.00, 90.00 degrees
Space group P4/mmm (No. 123)
Inequivalent atoms, fractional coordinates:
Na: 0.000 0.000 0.000 [1 per cell]
Bi: 0.500 0.500 0.500 [1 per cell]
P: 0.000 0.500 0.500 [2 per cell]
O: 0.500 0.500 0.000 [1 per cell]

# 4
NaBiP2O: optimized geometry, PBE-GGA.

Summary:
Uncorrected formation energy = 4.1 eV/f.u.
Calculated total energy = -3.370 eV per atom

Cell lengths 5.002, 5.002, 4.075 Å; angles 90.00, 90.00, 90.00 degrees
Space group P4/mmm (No. 123)
Inequivalent atoms, fractional coordinates:
Na: 0.000 0.000 0.000 [1 per cell]
Bi: 0.500 0.500 0.500 [1 per cell]
P: 0.000 0.500 0.000 [2 per cell]
O: 0.000 0.000 0.500 [1 per cell]

# 5
NaBiPO2: optimized geometry, PBE-GGA.

Summary:
Uncorrected formation energy = -1.0 eV/f.u.
Calculated total energy = -4.297 eV per atom

Cell lengths 4.338, 4.338, 5.402 Å; angles 90.00, 90.00, 90.00 degrees
Space group P4/mmm (No. 123)
Inequivalent atoms, fractional coordinates:
Na: 0.000 0.000 0.000 [1 per cell]
Bi: 0.500 0.500 0.500 [1 per cell]
P: 0.500 0.500 0.000 [1 per cell]
O: 0.000 0.500 0.500 [2 per cell]

# 6
Na3BiP4O14: optimized geometry, PBE-GGA.

Summary:
Uncorrected formation energy = -42.9 eV/f.u.
Calculated total energy = -6.445 eV per atom

Cell lengths 7.718, 9.403, 9.817 Å; angles 84.19, 68.15, 79.06 degrees
Space group P-1 (No. 2)
Inequivalent atoms, fractional coordinates:
Na: 0.005 0.214 0.051 [2 per cell]
Na: 0.182 0.192 0.333 [2 per cell]
Na: 0.462 0.300 0.967 [2 per cell]
Bi: 0.355 0.293 0.622 [2 per cell]
P: 0.123 0.541 0.173 [2 per cell]
P: 0.238 0.947 0.610 [2 per cell]
P: 0.327 0.511 0.378 [2 per cell]
P: 0.371 0.977 0.854 [2 per cell]
O: 0.057 0.892 0.703 [2 per cell]
O: 0.069 0.365 0.813 [2 per cell]
O: 0.137 0.379 0.156 [2 per cell]
O: 0.147 0.566 0.328 [2 per cell]
O: 0.198 0.931 0.977 [2 per cell]
O: 0.202 0.112 0.572 [2 per cell]
O: 0.269 0.545 0.540 [2 per cell]
O: 0.278 0.601 0.044 [2 per cell]
O: 0.345 0.145 0.841 [2 per cell]
O: 0.351 0.863 0.469 [2 per cell]
O: 0.376 0.345 0.366 [2 per cell]
O: 0.381 0.926 0.698 [2 per cell]
O: 0.445 0.097 0.132 [2 per cell]
O: 0.485 0.593 0.275 [2 per cell]

# 7
NaBiPO2: optimized geometry, PBE-GGA.

Summary:
Uncorrected formation energy = 2.3 eV/f.u.
Calculated total energy = -3.655 eV per atom

Cell lengths 4.172, 4.172, 5.065 Å; angles 90.00, 90.00, 90.00 degrees
Space group P4/mmm (No. 123)
Inequivalent atoms, fractional coordinates:
Na: 0.000 0.000 0.000 [1 per cell]
Bi: 0.500 0.500 0.500 [1 per cell]
P: 0.000 0.000 0.500 [1 per cell]
O: 0.000 0.500 0.000 [2 per cell]

# 8
NaBiP2O8: optimized geometry, PBE-GGA.

Summary:
Uncorrected formation energy = -20.4 eV/f.u.
Calculated total energy = -6.344 eV per atom

Cell lengths 7.154, 7.154, 6.266 Å; angles 90.00, 90.00, 90.00 degrees
Space group I-4m2 (No. 119)
Inequivalent atoms, fractional coordinates:
Na: 0.000 0.000 0.000 [2 per cell]
Bi: 0.000 0.500 0.250 [2 per cell]
P: 0.000 0.000 0.500 [2 per cell]
P: 0.000 0.500 0.750 [2 per cell]
O: 0.000 0.172 0.351 [8 per cell]
O: 0.000 0.328 0.901 [8 per cell]

# 9
NaPaBiO6: optimized geometry, PBE-GGA.

Summary:
Uncorrected formation energy = -16.6 eV/f.u.
Calculated total energy = -6.785 eV per atom

Cell lengths 5.6001, 5.6001, 4.8782 Å; angles 90.00, 90.00, 120.00 degrees
Space group P312 (No. 149)
Inequivalent atoms, fractional coordinates:
Na: 0.0000 0.0000 0.0000 [1 per cell]
Pa: 0.6667 0.3333 0.5000 [1 per cell]
Bi: 0.3333 0.6667 0.0000 [1 per cell]
O: 0.0018 0.3655 0.2469 [6 per cell]

# 10
Na3Pa4BiO12: optimized geometry, PBE-GGA.

Summary:
Uncorrected formation energy = -57.1 eV/f.u.
Calculated total energy = -8.121 eV per atom

Cell lengths 8.520, 8.520, 8.520 Å; angles 90.00, 90.00, 90.00 degrees
Space group Im-3 (No. 204)
Inequivalent atoms, fractional coordinates:
Na: 0.000 0.000 0.500 [6 per cell]
Pa: 0.250 0.250 0.250 [8 per cell]
Bi: 0.000 0.000 0.000 [2 per cell]
O: 0.000 0.203 0.296 [24 per cell]

# 11
NaPa2BiO8: optimized geometry, PBE-GGA.

Summary:
Uncorrected formation energy = -30.5 eV/f.u.
Calculated total energy = -7.863 eV per atom

Cell lengths 5.071, 7.135, 5.071 Å; angles 90.00, 90.46, 90.00 degrees
Space group P2/m (No. 10)
Inequivalent atoms, fractional coordinates:
Na: 0.000 0.000 0.000 [1 per cell]
Pa: 0.500 0.245 0.500 [2 per cell]
Bi: 0.000 0.500 0.000 [1 per cell]
O: 0.201 0.280 0.203 [4 per cell]
O: 0.309 0.500 0.692 [2 per cell]
O: 0.326 0.000 0.676 [2 per cell]

# 12
NaPaBiO5: optimized geometry, PBE-GGA.

Summary:
Uncorrected formation energy = -17.4 eV/f.u.
Calculated total energy = -7.116 eV per atom

Cell lengths 7.289, 10.752, 8.254 Å; angles 90.00, 114.46, 90.00 degrees
Space group C2/c (No. 15)
Inequivalent atoms, fractional coordinates:
Na: 0.000 0.213 0.250 [4 per cell]
Pa: 0.000 0.500 0.000 [4 per cell]
Bi: 0.000 0.210 0.750 [4 per cell]
O: 0.000 0.437 0.250 [4 per cell]
O: 0.149 0.322 0.623 [8 per cell]
O: 0.217 0.092 0.943 [8 per cell]

The lowest calculated total energy belongs to which entry?
Na3Pa4BiO12